Rb2MoSeO6 after structural relaxation. Source: the Alexandria database, functional PBE with a Hubbard U.

The value obtained for the total moment is 0.000 μB/cell. The energy above the most stable polymorph in this dataset comes out at 0.313 eV per atom.

The structure belongs to space group I4/mmm (No. 139); the cell edges are 5.581, 5.581 and 10.133 Å and the angles 90.00°, 90.00° and 90.00°. The inequivalent atoms are Rb at (0.000, 0.500, 0.250), Mo at (0.000, 0.000, 0.000), Se at (0.000, 0.000, 0.500), O at (0.000, 0.000, 0.183) and O at (0.245, 0.245, 0.500).